## NiTeRu2 (PBE)

Data for a relaxed structure of NiTeRu2.

Its calculated volume is 15.13 Å³/atom. Its total moment is 0.7 μB/cell. As for the uncorrected formation energy: 1.388 eV per formula unit.

a b c (Å): 3.203 3.203 5.900
angles (deg): 90.00 90.00 90.00
Element x y z (fractional)
Ni (0.000, 0.000, 0.000)
Te (0.000, 0.000, 0.500)
Ru (0.500, 0.500, 0.226)
Ru (0.500, 0.500, 0.774)